Record 1
The following is a GGA-PBE calculation of a relaxed KCd4Ga crystal, from Alexandria.

Its density of states at the Fermi level is 5.088 states/eV per cell. For the density, the calculation gives 5.946 Mg/m³. The formation energy comes out at -0.03 eV/atom.

```
KCd4Ga
1.0
0.422 2.174 -4.054
0.542 -6.858 -3.622
-8.840 -1.249 1.042
Cd K Ga
8 2 2
Cartesian
-0.882 -5.168 -2.864
-2.380 -5.426 -5.790
0.211 1.087 -2.027
-6.994 -0.765 -3.770
-5.289 -3.129 -2.229
0.482 -2.342 -3.838
-5.496 -0.507 -0.844
-2.587 -2.803 -4.405
-1.929 -1.753 -1.141
-5.947 -4.179 -5.493
-3.715 -5.221 -3.187
-4.161 -0.712 -3.447
```



Record 2
The following is a GGA-PBE calculation of a relaxed KS2NCl crystal, from Alexandria.

Its density of states at the Fermi level is 4.421 states/eV per cell. For the density, the calculation gives 0.992 Mg/m³. The calculation puts the uncorrected energy at -2.38 eV/atom.

```
KS2NCl
1.0
6.567 0.000 0.000
0.000 6.567 0.000
0.000 0.000 5.927
Cl S K N
1 2 1 1
Cartesian
0.000 0.000 2.963
0.000 3.284 0.000
3.284 0.000 0.000
0.000 0.000 0.000
3.284 3.284 2.963
```



Record 3
The following is a GGA-PBE calculation of a relaxed TlSnGeIr2 crystal, from Alexandria.

Its density of states at the Fermi level is 5.245 states/eV per cell. For the density, the calculation gives 9.631 Mg/m³. The formation energy comes out at 1.40 eV/atom.

```
TlSnGeIr2
1.0
-4.582 -0.669 1.742
-1.351 -2.699 -4.591
1.414 -4.257 2.087
Tl Ir Ge Sn
1 2 1 1
Cartesian
-0.676 -1.350 -2.296
-2.291 -0.334 0.871
0.707 -2.129 1.043
-2.260 -3.813 -0.381
0.000 0.000 0.000
```



Record 4
The following is a GGA-PBE calculation of a relaxed SrMgZr2 crystal, from Alexandria.

Its density of states at the Fermi level is 5.332 states/eV per cell. For the density, the calculation gives 4.529 Mg/m³. The formation energy comes out at 0.41 eV/atom.

```
SrMgZr2
1.0
3.338 0.000 0.000
0.000 5.454 0.000
0.000 0.000 5.929
Zr Mg Sr
2 1 1
Cartesian
1.669 2.727 0.000
0.000 0.000 0.000
1.669 0.000 2.964
0.000 2.727 2.964
```



Record 5
The following is a GGA-PBE calculation of a relaxed Pr3PaTl3Se8 crystal, from Alexandria.

Its density of states at the Fermi level is 4.892 states/eV per cell. For the density, the calculation gives 6.249 Mg/m³. The calculation puts the uncorrected energy at -5.29 eV/atom.

```
Pr3PaTl3Se8
1.0
-3.478 -7.875 0.731
2.577 4.257 7.061
-7.651 2.980 -4.294
Se Tl Pr Pa
8 3 3 1
Cartesian
-1.762 1.025 2.663
-5.478 0.363 4.418
-3.075 -1.000 -0.920
-3.667 4.462 4.038
-3.544 -2.883 3.135
-4.885 -5.099 -0.540
-6.791 -1.663 0.835
-5.008 2.246 0.363
-0.451 -1.809 3.896
0.000 0.000 0.000
1.288 2.129 3.530
-5.565 -2.447 -1.781
-4.276 -0.319 1.749
-2.537 3.619 1.383
-3.825 1.490 -2.147
```



Record 6
The following is a GGA-PBE calculation of a relaxed MnRe2Hg crystal, from Alexandria.

Its density of states at the Fermi level is 2.922 states/eV per cell. For the density, the calculation gives 16.193 Mg/m³. The formation energy comes out at 0.42 eV/atom.

```
MnRe2Hg
1.0
-1.141 -3.514 -1.199
0.809 -1.120 2.512
-4.491 -0.110 4.596
Mn Hg Re
1 1 2
Cartesian
-3.442 -2.659 4.778
-1.899 -0.604 3.576
-0.035 -0.018 0.085
-1.288 -2.078 1.025
```



Record 7
The following is a GGA-PBE calculation of a relaxed Nd3Si4Rh7 crystal, from Alexandria.

Its density of states at the Fermi level is 6.337 states/eV per cell. For the density, the calculation gives 8.743 Mg/m³. The calculation puts the uncorrected energy at -7.18 eV/atom.

```
Nd3Si4Rh7
1.0
3.940 0.000 0.994
1.441 7.415 2.594
0.017 0.031 8.239
Rh Nd Si
7 3 4
Cartesian
2.310 1.781 7.456
3.088 5.665 4.371
1.502 4.404 2.350
3.895 3.042 9.477
2.973 1.175 4.828
2.425 6.272 6.998
0.000 0.000 0.000
1.552 1.299 2.155
0.729 3.723 5.416
3.846 6.147 9.672
0.620 0.833 5.850
4.778 6.613 5.977
2.119 4.070 8.213
3.279 3.376 3.614
```



Record 8
The following is a GGA-PBE calculation of a relaxed Li3Ag3Au5 crystal, from Alexandria.

Its density of states at the Fermi level is 2.026 states/eV per cell. For the density, the calculation gives 10.989 Mg/m³. The formation energy comes out at -0.07 eV/atom.

```
Li3Ag3Au5
1.0
-0.947 1.087 -2.428
7.685 -2.488 -4.110
-7.065 -5.673 0.216
Ag Au Li
3 5 3
Cartesian
-0.363 -0.911 -1.908
5.842 -1.501 -4.592
-6.279 -4.118 -1.036
2.295 -3.006 -3.882
-2.930 -1.429 -1.139
2.198 -0.321 -2.643
-0.069 -4.780 -3.754
-2.622 -4.068 -2.440
-4.108 -3.298 0.126
4.468 -1.446 -2.390
0.259 -3.416 -1.630
```